(1)
## TlSi4Br (PBE)

Data for an optimized crystal structure of TlSi4Br.

## Properties
E_form (uncorrected) (eV per atom): 0.552

Cell lengths 5.523, 5.523, 5.523 Å; angles 60.00, 60.00, 60.00 degrees
Atoms (fractional coordinates):
Tl1 0.750 0.750 0.750
Br1 0.000 0.000 0.000
Si1 0.375 0.874 0.375
Si2 0.874 0.375 0.375
Si3 0.375 0.375 0.874
Si4 0.375 0.375 0.375

(2)
## TlSiBr2 (PBE)

Data for an optimized crystal structure of TlSiBr2.

## Properties
E_form (uncorrected) (eV per atom): 0.039

Cell lengths 6.642, 6.642, 3.553 Å; angles 64.65, 64.65, 80.31 degrees
Atoms (fractional coordinates):
Br1 0.000 0.000 0.000
Br2 0.500 0.500 0.000
Si1 0.500 0.000 0.500
Tl1 0.000 0.500 0.500

(3)
## TlSiBr (PBE)

Data for an optimized crystal structure of TlSiBr.

## Properties
E_form (uncorrected) (eV per atom): -0.186

Cell lengths 8.662, 3.940, 11.963 Å; angles 90.00, 97.44, 90.00 degrees
Atoms (fractional coordinates):
Br1 0.831 0.000 0.488
Br2 0.218 0.500 0.624
Br3 0.218 0.000 0.124
Br4 0.831 0.500 0.988
Tl1 0.496 0.000 0.671
Tl2 0.089 0.500 0.308
Tl3 0.089 0.000 0.808
Tl4 0.496 0.500 0.171
Si1 0.560 0.000 0.458
Si2 0.437 0.500 0.382
Si3 0.437 0.000 0.882
Si4 0.560 0.500 0.958

(4)
## TlSiBr2 (PBE)

Data for an optimized crystal structure of TlSiBr2.

## Properties
E_form (uncorrected) (eV per atom): 0.096

Cell lengths 7.494, 7.494, 7.494 Å; angles 146.48, 146.48, 48.14 degrees
Last column: magnetic moment on the atom in μB.
Atoms (fractional coordinates):
Br1 0.000 0.000 0.000  0.00
Br2 0.250 0.750 0.500  0.04
Tl1 0.750 0.250 0.500  0.01
Si1 0.500 0.500 0.000  0.27

(5)
## TlSi3Br (PBE)

Data for an optimized crystal structure of TlSi3Br.

## Properties
E_form (uncorrected) (eV per atom): 1.221

Cell lengths 5.110, 5.110, 5.110 Å; angles 90.00, 90.00, 90.00 degrees
Atoms (fractional coordinates):
Si1 0.000 0.000 0.500
Si2 0.000 0.500 0.000
Si3 0.500 0.000 0.000
Br1 0.000 0.000 0.000
Tl1 0.500 0.500 0.500

(6)
## TlSiBr (PBE)

Data for an optimized crystal structure of TlSiBr.

## Properties
E_form (uncorrected) (eV per atom): 0.607

Cell lengths 5.160, 5.160, 5.160 Å; angles 60.00, 60.00, 60.00 degrees
Last column: magnetic moment on the atom in μB.
Atoms (fractional coordinates):
Br1 0.000 0.000 0.000  0.14
Si1 0.500 0.500 0.500  0.38
Tl1 0.750 0.750 0.750  0.08

(7)
## TlSi2Br (PBE)

Data for an optimized crystal structure of TlSi2Br.

## Properties
E_form (uncorrected) (eV per atom): -0.014

Cell lengths 8.655, 8.655, 8.655 Å; angles 26.21, 26.21, 26.21 degrees
Atoms (fractional coordinates):
Si1 0.281 0.281 0.281
Si2 0.969 0.969 0.969
Tl1 0.499 0.499 0.499
Br1 0.751 0.751 0.751

(8)
## TlSi2Br (PBE)

Data for an optimized crystal structure of TlSi2Br.

## Properties
E_form (uncorrected) (eV per atom): 0.466

Cell lengths 4.522, 4.522, 10.893 Å; angles 78.02, 78.02, 90.00 degrees
Atoms (fractional coordinates):
Tl1 0.750 0.250 0.500
Tl2 0.000 0.000 0.000
Si1 0.236 0.625 0.250
Si2 0.875 0.764 0.750
Si3 0.375 0.486 0.750
Si4 0.514 0.125 0.250
Br1 0.500 0.500 0.000
Br2 0.250 0.750 0.500

(9)
## TlSi2Br (PBE)

Data for an optimized crystal structure of TlSi2Br.

## Properties
E_form (uncorrected) (eV per atom): 0.378

Cell lengths 6.509, 6.509, 6.509 Å; angles 149.93, 135.57, 54.58 degrees
Atoms (fractional coordinates):
Si1 0.066 0.066 0.000
Si2 0.224 0.724 0.500
Br1 0.747 0.247 0.500
Tl1 0.464 0.464 0.000

(10)
## TlSiBr2 (PBE)

Data for an optimized crystal structure of TlSiBr2.

## Properties
E_form (uncorrected) (eV per atom): -0.051

Cell lengths 3.762, 3.762, 9.436 Å; angles 90.00, 90.00, 119.43 degrees
Atoms (fractional coordinates):
Tl1 0.500 0.500 0.750
Si1 0.500 0.500 0.250
Br1 0.000 0.000 0.039
Br2 0.000 0.000 0.461

(11)
## TlSiBr (PBE)

Data for an optimized crystal structure of TlSiBr.

## Properties
E_form (uncorrected) (eV per atom): -0.198

Cell lengths 9.310, 3.886, 12.106 Å; angles 90.00, 113.60, 90.00 degrees
Atoms (fractional coordinates):
Br1 0.814 0.000 0.364
Br2 0.425 0.000 0.847
Br3 0.425 0.500 0.347
Br4 0.814 0.500 0.864
Si1 0.214 0.500 0.542
Si2 0.086 0.500 0.937
Si3 0.086 0.000 0.437
Si4 0.214 0.000 0.042
Tl1 0.154 0.000 0.239
Tl2 0.517 0.500 0.108
Tl3 0.517 0.000 0.608
Tl4 0.154 0.500 0.739

(12)
## Tl3SiBr (PBE)

Data for an optimized crystal structure of Tl3SiBr.

## Properties
E_form (uncorrected) (eV per atom): 0.064

Cell lengths 5.588, 5.588, 5.588 Å; angles 90.00, 90.00, 90.00 degrees
Atoms (fractional coordinates):
Tl1 0.500 0.000 0.000
Tl2 0.000 0.000 0.500
Tl3 0.000 0.500 0.000
Si1 0.000 0.000 0.000
Br1 0.500 0.500 0.500

What is the E_form (uncorrected) in the fourth record?
0.096 eV per atom